Entry 1:
Crystalline Al4GaAg at its relaxed geometry, computed with PBE.

## Properties
Distance to the lowest polymorph of the same formula, eV/f.u.: 0.16
Magnetic moment, μB/cell: 0.000
Energy relative to the elements, eV/atom: 0.04

Cell and atoms, written as CIF:
```
data_Al4GaAg
_chemical_formula_sum 'Al8 Ga2 Ag2'
_cell_length_a 6.732
_cell_length_b 4.961
_cell_length_c 6.311
_cell_angle_alpha 90.00
_cell_angle_beta 100.05
_cell_angle_gamma 90.00
_symmetry_space_group_name_H-M 'P 1 2/c 1'
_symmetry_Int_Tables_number 13
_symmetry_space_group_name_Hall '-P 2yc'
loop_
_atom_site_label
_atom_site_type_symbol
_atom_site_fract_x
_atom_site_fract_y
_atom_site_fract_z
Al1 Al 0.166 0.111 0.417
Al2 Al 0.332 0.391 0.085
Ga1 Ga 0.000 0.393 0.750
Ag1 Ag 0.500 0.107 0.750
```

---

Entry 2:
Crystalline AlGa2Ag at its relaxed geometry, computed with PBE.

## Properties
Magnetic moment, μB/cell: 0.000
Energy relative to the elements, eV/atom: 0.36

Cell and atoms, written as CIF:
```
data_AlGa2Ag
_chemical_formula_sum 'Al3 Ga6 Ag3'
_cell_length_a 4.3310
_cell_length_b 4.3310
_cell_length_c 19.9678
_cell_angle_alpha 90.00
_cell_angle_beta 90.00
_cell_angle_gamma 120.00
_symmetry_space_group_name_H-M 'R -3 m'
_symmetry_Int_Tables_number 166
_symmetry_space_group_name_Hall '-R 3 2"'
loop_
_atom_site_label
_atom_site_type_symbol
_atom_site_fract_x
_atom_site_fract_y
_atom_site_fract_z
Al1 Al 0.0000 0.0000 0.0000
Ga1 Ga 0.0000 0.0000 0.3731
Ag1 Ag 0.0000 0.0000 0.5000
```

---

Entry 3:
Crystalline AlGaAg5 at its relaxed geometry, computed with PBE.

## Properties
Distance to the lowest polymorph of the same formula, eV/f.u.: 0.18
Magnetic moment, μB/cell: 0.000
Energy relative to the elements, eV/atom: 0.02

Cell and atoms, written as CIF:
```
data_AlGaAg5
_chemical_formula_sum 'Al4 Ga4 Ag20'
_cell_length_a 9.808
_cell_length_b 10.177
_cell_length_c 5.179
_cell_angle_alpha 90.00
_cell_angle_beta 106.04
_cell_angle_gamma 90.00
_symmetry_space_group_name_H-M 'C 1 2/c 1'
_symmetry_Int_Tables_number 15
_symmetry_space_group_name_Hall '-C 2yc'
loop_
_atom_site_label
_atom_site_type_symbol
_atom_site_fract_x
_atom_site_fract_y
_atom_site_fract_z
Al1 Al 0.000 0.068 0.250
Ga1 Ga 0.000 0.500 0.000
Ag1 Ag 0.000 0.210 0.750
Ag2 Ag 0.149 0.304 0.294
Ag3 Ag 0.242 0.069 0.110
```